Density functional theory data (GGA-PBE) for a relaxed structure of Sm3Ga2Ag.

Raw total energy   -4.31 eV per atom
Calculated density   7.74 Mg/m³
Crystal system   trigonal
Excess energy over the best structure of this formula in the dataset   0.05 eV/f.u.

Cell: 5.197 5.197 12.811 Å, 90.00 90.00 120.00°
Atoms (fractional coordinates):
Sm (0.000, 0.000, 0.244)
Sm (0.000, 0.000, 0.756)
Sm (0.333, 0.667, 0.415)
Sm (0.333, 0.667, 0.920)
Sm (0.667, 0.333, 0.080)
Sm (0.667, 0.333, 0.585)
Ga (0.000, 0.000, 0.000)
Ga (0.000, 0.000, 0.500)
Ga (0.333, 0.667, 0.171)
Ga (0.667, 0.333, 0.829)
Ag (0.333, 0.667, 0.671)
Ag (0.667, 0.333, 0.329)

---

Density functional theory data (GGA-PBE) for a relaxed structure of Sm2Ga6Ag3.

Raw total energy   -3.54 eV per atom
Calculated density   7.49 Mg/m³
Crystal system   orthorhombic

Cell: 7.720 7.720 3.936 Å, 90.00 90.00 99.98°
Atoms (fractional coordinates):
Sm (0.202, 0.798, 0.000)
Sm (0.798, 0.202, 0.000)
Ga (0.119, 0.119, 0.500)
Ga (0.146, 0.461, 0.500)
Ga (0.461, 0.146, 0.500)
Ga (0.539, 0.854, 0.500)
Ga (0.854, 0.539, 0.500)
Ga (0.881, 0.881, 0.500)
Ag (0.293, 0.293, 0.000)
Ag (0.500, 0.500, 0.500)
Ag (0.707, 0.707, 0.000)

---

Density functional theory data (GGA-PBE) for a relaxed structure of Sm2Ga2Ag.

Raw total energy   -4.19 eV per atom
Calculated density   7.71 Mg/m³
Crystal system   monoclinic

Cell: 5.890 5.890 10.862 Å, 115.81 115.81 45.25°
Atoms (fractional coordinates):
Sm (0.014, 0.014, 0.328)
Sm (0.185, 0.185, 0.107)
Sm (0.815, 0.815, 0.893)
Sm (0.986, 0.986, 0.672)
Ga (0.367, 0.367, 0.436)
Ga (0.474, 0.474, 0.108)
Ga (0.526, 0.526, 0.892)
Ga (0.633, 0.633, 0.564)
Ag (0.274, 0.274, 0.651)
Ag (0.726, 0.726, 0.349)

---

Density functional theory data (GGA-PBE) for a relaxed structure of SmGa5Ag7.

Raw total energy   -3.20 eV per atom
Calculated density   8.73 Mg/m³
Crystal system   orthorhombic

Cell: 7.163 7.163 7.163 Å, 135.50 97.83 98.66°
Atoms (fractional coordinates):
Sm (0.000, 0.000, 0.000)
Ga (0.001, 0.500, 0.005)
Ga (0.001, 0.996, 0.501)
Ga (0.495, 0.500, 0.499)
Ga (0.495, 0.996, 0.995)
Ga (0.783, 0.283, 0.500)
Ag (0.208, 0.496, 0.712)
Ag (0.218, 0.718, 0.500)
Ag (0.350, 0.350, 0.000)
Ag (0.351, 0.003, 0.348)
Ag (0.655, 0.003, 0.652)
Ag (0.659, 0.659, 0.000)
Ag (0.784, 0.496, 0.288)

---

Density functional theory data (GGA-PBE) for a relaxed structure of Sm4GaAg3.

Raw total energy   -4.16 eV per atom
Calculated density   8.19 Mg/m³
Crystal system   tetragonal

Cell: 3.658 3.658 15.075 Å, 90.00 90.00 90.00°
Atoms (fractional coordinates):
Sm (0.000, 0.000, 0.121)
Sm (0.000, 0.000, 0.373)
Sm (0.000, 0.000, 0.627)
Sm (0.000, 0.000, 0.879)
Ga (0.500, 0.500, 0.000)
Ag (0.500, 0.500, 0.248)
Ag (0.500, 0.500, 0.500)
Ag (0.500, 0.500, 0.752)

---

Density functional theory data (GGA-PBE) for a relaxed structure of SmGa2Ag2.

Raw total energy   -3.67 eV per atom
Calculated density   8.21 Mg/m³
Crystal system   tetragonal

Cell: 6.202 6.202 6.202 Å, 138.86 138.86 59.59°
Atoms (fractional coordinates):
Sm (0.000, 0.000, 0.000)
Ga (0.387, 0.387, 0.000)
Ga (0.613, 0.613, 0.000)
Ag (0.250, 0.750, 0.500)
Ag (0.750, 0.250, 0.500)

---

Density functional theory data (GGA-PBE) for a relaxed structure of Sm3GaAg.

Raw total energy   -4.32 eV per atom
Calculated density   7.72 Mg/m³
Crystal system   orthorhombic
Excess energy over the best structure of this formula in the dataset   0.00 eV/f.u.

Cell: 10.295 10.295 5.212 Å, 90.00 90.00 150.70°
Atoms (fractional coordinates):
Sm (0.063, 0.937, 0.750)
Sm (0.248, 0.752, 0.750)
Sm (0.432, 0.568, 0.750)
Sm (0.568, 0.432, 0.250)
Sm (0.752, 0.248, 0.250)
Sm (0.937, 0.063, 0.250)
Ga (0.155, 0.845, 0.250)
Ga (0.845, 0.155, 0.750)
Ag (0.342, 0.658, 0.250)
Ag (0.658, 0.342, 0.750)

---

Density functional theory data (GGA-PBE) for a relaxed structure of Sm2GaAg3.

Raw total energy   -3.86 eV per atom
Calculated density   8.46 Mg/m³
Crystal system   orthorhombic
Excess energy over the best structure of this formula in the dataset   0.00 eV/f.u.

Cell: 9.507 8.959 5.877 Å, 76.59 66.44 36.97°
Atoms (fractional coordinates):
Sm (0.246, 0.754, 0.754)
Sm (0.250, 0.250, 0.250)
Sm (0.750, 0.750, 0.750)
Sm (0.754, 0.246, 0.246)
Ga (0.333, 0.333, 0.667)
Ga (0.667, 0.667, 0.333)
Ag (0.170, 0.170, 0.830)
Ag (0.172, 0.659, 0.341)
Ag (0.341, 0.828, 0.172)
Ag (0.659, 0.172, 0.828)
Ag (0.828, 0.341, 0.659)
Ag (0.830, 0.830, 0.170)

---

| no. | formation energy (eV/atom) |
| --- | --- |
| 1 | -0.4625 |
| 2 | -0.2497 |
| 3 | -0.5250 |
| 4 | -0.1402 |
| 5 | -0.3519 |
| 6 | -0.3794 |
| 7 | -0.3138 |
| 8 | -0.3525 |